1.
# NdDyAlZn | Alexandria via LeMat-Bulk | GGA-PBE | optimized geometry
# - calculated total energy (eV per atom) = -3.942
data_NdDyAlZn
_chemical_formula_sum 'Nd4 Dy4 Al4 Zn4'
_symmetry_space_group_name_H-M 'F -4 3 m'
_symmetry_Int_Tables_number 216
_symmetry_space_group_name_Hall 'F -4 2 3'
_cell_length_a 7.314
_cell_length_b 7.314
_cell_length_c 7.314
_cell_angle_alpha 90.00
_cell_angle_beta 90.00
_cell_angle_gamma 90.00
loop_
_atom_site_label
_atom_site_type_symbol
_atom_site_fract_x
_atom_site_fract_y
_atom_site_fract_z
Nd1 Nd 0.000 0.000 0.000
Dy1 Dy 0.000 0.000 0.500
Al1 Al 0.250 0.250 0.250
Zn1 Zn 0.250 0.250 0.750

***

2.
# Dy2Al3Ni4 | Alexandria via LeMat-Bulk | GGA-PBE | optimized geometry
# - calculated total energy (eV per atom) = -5.413
data_Dy2Al3Ni4
_chemical_formula_sum 'Dy8 Al12 Ni16'
_symmetry_space_group_name_H-M 'C m c e'
_symmetry_Int_Tables_number 64
_symmetry_space_group_name_Hall '-C 2ac 2'
_cell_length_a 5.457
_cell_length_b 15.237
_cell_length_c 6.894
_cell_angle_alpha 90.00
_cell_angle_beta 90.00
_cell_angle_gamma 90.00
loop_
_atom_site_label
_atom_site_type_symbol
_atom_site_fract_x
_atom_site_fract_y
_atom_site_fract_z
Dy1 Dy 0.000 0.104 0.086
Al1 Al 0.000 0.000 0.500
Al2 Al 0.250 0.234 0.750
Ni1 Ni 0.000 0.170 0.488
Ni2 Ni 0.250 0.071 0.750

***

3.
# DyAlNi | Alexandria via LeMat-Bulk | GGA-PBE | optimized geometry
# - calculated total energy (eV per atom) = -5.292
data_DyAlNi
_chemical_formula_sum 'Dy6 Al6 Ni6'
_symmetry_space_group_name_H-M 'P m m a'
_symmetry_Int_Tables_number 51
_cell_length_a 12.186
_cell_length_b 3.875
_cell_length_c 7.011
_cell_angle_alpha 90.00
_cell_angle_beta 90.00
_cell_angle_gamma 90.00
loop_
_symmetry_equiv_pos_as_xyz
'x,y,z'
'-x,-y,-z'
'-x+1/2,-y,z'
'x+1/2,y,-z'
'x+1/2,-y,-z'
'-x+1/2,y,z'
'-x,y,-z'
'x,-y,z'
loop_
_atom_site_label
_atom_site_type_symbol
_atom_site_fract_x
_atom_site_fract_y
_atom_site_fract_z
Dy1 Dy 0.041 0.000 0.248
Dy2 Dy 0.250 0.000 0.876
Al1 Al 0.135 0.500 0.579
Al2 Al 0.250 0.500 0.225
Ni1 Ni 0.097 0.500 0.953
Ni2 Ni 0.250 0.000 0.459

***

4.
# Dy2Al3Ni | Alexandria via LeMat-Bulk | GGA-PBE | optimized geometry
# - calculated total energy (eV per atom) = -4.895
data_Dy2Al3Ni
_chemical_formula_sum 'Dy6 Al9 Ni3'
_symmetry_space_group_name_H-M 'R -3 m'
_symmetry_Int_Tables_number 166
_symmetry_space_group_name_Hall '-R 3 2"'
_cell_length_a 5.5064
_cell_length_b 5.5064
_cell_length_c 12.9438
_cell_angle_alpha 90.00
_cell_angle_beta 90.00
_cell_angle_gamma 120.00
loop_
_atom_site_label
_atom_site_type_symbol
_atom_site_fract_x
_atom_site_fract_y
_atom_site_fract_z
Dy1 Dy 0.0000 0.0000 0.1244
Al1 Al 0.0000 0.5000 0.0000
Ni1 Ni 0.0000 0.0000 0.5000

***

5.
# DyAlNi4 | Alexandria via LeMat-Bulk | GGA-PBE | optimized geometry
# - calculated total energy (eV per atom) = -5.770
data_DyAlNi4
_chemical_formula_sum 'Dy2 Al2 Ni8'
_symmetry_space_group_name_H-M 'C m m m'
_symmetry_Int_Tables_number 65
_symmetry_space_group_name_Hall '-C 2 2'
_cell_length_a 5.017
_cell_length_b 8.417
_cell_length_c 4.022
_cell_angle_alpha 90.00
_cell_angle_beta 90.00
_cell_angle_gamma 90.00
loop_
_atom_site_label
_atom_site_type_symbol
_atom_site_fract_x
_atom_site_fract_y
_atom_site_fract_z
Dy1 Dy 0.000 0.000 0.000
Al1 Al 0.000 0.500 0.500
Ni1 Ni 0.000 0.333 0.000
Ni2 Ni 0.250 0.250 0.500

***

6.
# DyAl2Ni3 | Alexandria via LeMat-Bulk | GGA-PBE | optimized geometry
# - calculated total energy (eV per atom) = -5.431
data_DyAl2Ni3
_chemical_formula_sum 'Dy4 Al8 Ni12'
_symmetry_space_group_name_H-M 'C m c m'
_symmetry_Int_Tables_number 63
_symmetry_space_group_name_Hall '-C 2c 2'
_cell_length_a 9.317
_cell_length_b 7.603
_cell_length_c 5.201
_cell_angle_alpha 90.00
_cell_angle_beta 90.00
_cell_angle_gamma 90.00
loop_
_atom_site_label
_atom_site_type_symbol
_atom_site_fract_x
_atom_site_fract_y
_atom_site_fract_z
Dy1 Dy 0.000 0.181 0.250
Al1 Al 0.218 0.500 0.000
Ni1 Ni 0.000 0.459 0.750
Ni2 Ni 0.157 0.214 0.750

***

7.
# DyAlNi2 | Alexandria via LeMat-Bulk | GGA-PBE | optimized geometry
# - calculated total energy (eV per atom) = -5.338
data_DyAlNi2
_chemical_formula_sum 'Dy1 Al1 Ni2'
_symmetry_space_group_name_H-M 'P 4/m m m'
_symmetry_Int_Tables_number 123
_symmetry_space_group_name_Hall '-P 4 2'
_cell_length_a 4.428
_cell_length_b 4.428
_cell_length_c 3.208
_cell_angle_alpha 90.00
_cell_angle_beta 90.00
_cell_angle_gamma 90.00
loop_
_atom_site_label
_atom_site_type_symbol
_atom_site_fract_x
_atom_site_fract_y
_atom_site_fract_z
Dy1 Dy 0.000 0.000 0.000
Al1 Al 0.500 0.500 0.000
Ni1 Ni 0.000 0.500 0.500

***

8.
# DyAl8Ni2 | Alexandria via LeMat-Bulk | GGA-PBE | optimized geometry
# - calculated total energy (eV per atom) = -4.170
data_DyAl8Ni2
_chemical_formula_sum 'Dy1 Al8 Ni2'
_symmetry_space_group_name_H-M 'P 4/m m m'
_symmetry_Int_Tables_number 123
_symmetry_space_group_name_Hall '-P 4 2'
_cell_length_a 5.594
_cell_length_b 5.594
_cell_length_c 7.702
_cell_angle_alpha 90.00
_cell_angle_beta 90.00
_cell_angle_gamma 90.00
loop_
_atom_site_label
_atom_site_type_symbol
_atom_site_fract_x
_atom_site_fract_y
_atom_site_fract_z
Dy1 Dy 0.000 0.000 0.000
Al1 Al 0.250 0.250 0.317
Ni1 Ni 0.000 0.500 0.500

***

9.
# DyAlNi | Alexandria via LeMat-Bulk | GGA-PBE | optimized geometry
# - calculated total energy (eV per atom) = -5.110
data_DyAlNi
_chemical_formula_sum 'Dy2 Al2 Ni2'
_symmetry_space_group_name_H-M 'I 4 m m'
_symmetry_Int_Tables_number 107
_symmetry_space_group_name_Hall 'I 4 -2'
_cell_length_a 3.154
_cell_length_b 3.154
_cell_length_c 10.843
_cell_angle_alpha 90.00
_cell_angle_beta 90.00
_cell_angle_gamma 90.00
loop_
_atom_site_label
_atom_site_type_symbol
_atom_site_fract_x
_atom_site_fract_y
_atom_site_fract_z
Dy1 Dy 0.000 0.000 0.000
Al1 Al 0.000 0.000 0.286
Ni1 Ni 0.000 0.000 0.677

***

10.
# DyAl4Ni | Alexandria via LeMat-Bulk | GGA-PBE | optimized geometry
# - calculated total energy (eV per atom) = -4.523
data_DyAl4Ni
_chemical_formula_sum 'Dy4 Al16 Ni4'
_symmetry_space_group_name_H-M 'C m c m'
_symmetry_Int_Tables_number 63
_symmetry_space_group_name_Hall '-C 2c 2'
_cell_length_a 4.407
_cell_length_b 17.350
_cell_length_c 5.826
_cell_angle_alpha 90.00
_cell_angle_beta 90.00
_cell_angle_gamma 90.00
loop_
_atom_site_label
_atom_site_type_symbol
_atom_site_fract_x
_atom_site_fract_y
_atom_site_fract_z
Dy1 Dy 0.000 0.104 0.250
Al1 Al 0.000 0.149 0.750
Al2 Al 0.000 0.294 0.511
Al3 Al 0.000 0.500 0.000
Ni1 Ni 0.000 0.399 0.250

***

11.
# DyAlNi2 | Alexandria via LeMat-Bulk | GGA-PBE | optimized geometry
# - calculated total energy (eV per atom) = -5.398
data_DyAlNi2
_chemical_formula_sum 'Dy1 Al1 Ni2'
_symmetry_space_group_name_H-M 'P 4/m m m'
_symmetry_Int_Tables_number 123
_symmetry_space_group_name_Hall '-P 4 2'
_cell_length_a 3.167
_cell_length_b 3.167
_cell_length_c 6.253
_cell_angle_alpha 90.00
_cell_angle_beta 90.00
_cell_angle_gamma 90.00
loop_
_atom_site_label
_atom_site_type_symbol
_atom_site_fract_x
_atom_site_fract_y
_atom_site_fract_z
Dy1 Dy 0.000 0.000 0.000
Al1 Al 0.000 0.000 0.500
Ni1 Ni 0.500 0.500 0.297

***

12.
# Dy2Al3Ni2 | Alexandria via LeMat-Bulk | GGA-PBE | optimized geometry
# - calculated total energy (eV per atom) = -5.165
data_Dy2Al3Ni2
_chemical_formula_sum 'Dy4 Al6 Ni4'
_symmetry_space_group_name_H-M 'C 1 2/m 1'
_symmetry_Int_Tables_number 12
_cell_length_a 10.153
_cell_length_b 4.065
_cell_length_c 6.889
_cell_angle_alpha 90.00
_cell_angle_beta 117.24
_cell_angle_gamma 90.00
loop_
_symmetry_equiv_pos_as_xyz
'x,y,z'
'-x,-y,-z'
'-x,y,-z'
'x,-y,z'
'x+1/2,y+1/2,z'
'-x+1/2,-y+1/2,-z'
'-x+1/2,y+1/2,-z'
'x+1/2,-y+1/2,z'
loop_
_atom_site_label
_atom_site_type_symbol
_atom_site_fract_x
_atom_site_fract_y
_atom_site_fract_z
Dy1 Dy 0.141 0.000 0.280
Al1 Al 0.000 0.500 0.500
Al2 Al 0.142 0.500 0.939
Ni1 Ni 0.133 0.000 0.708

***

Spin magnetization per entry: 0.00, 0.00, 0.00, 0.00, 0.00, 0.00, 0.00, 0.00, 0.00, 0.00, 0.00, 0.00 μB/f.u.
Density per entry: 6.8, 7.4, 7.5, 6.8, 8.3, 7.1, 8.1, 3.4, 7.6, 4.9, 8.1, 6.9 g/cm3
E_form per entry: -0.346, -0.574, -0.583, -0.526, -0.525, -0.526, -0.361, 0.021, -0.402, -0.298, -0.421, -0.594 eV per atom